P.
VASP calculation (PBE) on Tb2NdSn after structural relaxation.

CIF file:
```
data_Tb2NdSn
_cell_length_a 4.6920
_cell_length_b 4.7235
_cell_length_c 11.5696
_cell_angle_alpha 90.00
_cell_angle_beta 101.63
_cell_angle_gamma 90.00
_space_group_name_H-M_alt 'P 1 21/m 1'
_space_group_IT_number 11
loop_
_space_group_symop_operation_xyz
'x,y,z'
'-x,-y,-z'
'-x,y+1/2,-z'
'x,-y+1/2,z'
loop_
_atom_site_label
_atom_site_fract_x
_atom_site_fract_y
_atom_site_fract_z
Tb1 0.0595 0.2500 0.1191
Tb2 0.4365 0.2500 0.8727
Nd1 0.1921 0.7500 0.3871
Sn1 0.3383 0.7500 0.6726
```

Properties
N(E_F) (states/eV per cell): 10.36

***

Q.
VASP calculation (PBE) on Tb2NdSn after structural relaxation.

CIF file:
```
data_Tb2NdSn
_cell_length_a 3.4905
_cell_length_b 3.4905
_cell_length_c 35.8649
_cell_angle_alpha 90.00
_cell_angle_beta 90.00
_cell_angle_gamma 120.00
_space_group_name_H-M_alt 'R -3 m'
_space_group_IT_number 166
_space_group_name_Hall '-R 3 2"'
loop_
_atom_site_label
_atom_site_fract_x
_atom_site_fract_y
_atom_site_fract_z
Tb1 0.0000 0.0000 0.0957
Nd1 0.0000 0.0000 0.0000
Sn1 0.0000 0.0000 0.5000
```

Properties
N(E_F) (states/eV per cell): 18.21

***

R.
VASP calculation (PBE) on Tb2NdSn after structural relaxation.

CIF file:
```
data_Tb2NdSn
_cell_length_a 7.7513
_cell_length_b 7.7513
_cell_length_c 7.7513
_cell_angle_alpha 90.00
_cell_angle_beta 90.00
_cell_angle_gamma 90.00
_space_group_name_H-M_alt 'F -4 3 m'
_space_group_IT_number 216
_space_group_name_Hall 'F -4 2 3'
loop_
_atom_site_label
_atom_site_fract_x
_atom_site_fract_y
_atom_site_fract_z
Tb1 0.0000 0.0000 0.0000
Tb2 0.2500 0.2500 0.2500
Nd1 0.2500 0.2500 0.7500
Sn1 0.0000 0.0000 0.5000
```

Properties
N(E_F) (states/eV per cell): 28.30

***

Most stable structure: P